Record 1
Material: AcPr2NdHo4
Method: DFT, PBE
State: optimized geometry

```
data_AcPr2NdHo4
_chemical_formula_sum 'Ac4 Pr8 Nd4 Ho16'
_cell_length_a 6.9370
_cell_length_b 12.0541
_cell_length_c 13.4948
_cell_angle_alpha 90.00
_cell_angle_beta 90.00
_cell_angle_gamma 90.00
_symmetry_space_group_name_H-M 'I m m a'
_symmetry_Int_Tables_number 74
_symmetry_space_group_name_Hall '-I 2b 2'
loop_
_atom_site_label
_atom_site_type_symbol
_atom_site_fract_x
_atom_site_fract_y
_atom_site_fract_z
Ac1 Ac 0.0000 0.0000 0.0000
Pr1 Pr 0.0000 0.0000 0.5000
Pr2 Pr 0.2500 0.2500 0.2500
Nd1 Nd 0.2500 0.2500 0.7500
Ho1 Ho 0.0000 0.0013 0.7421
Ho2 Ho 0.2377 0.2500 0.5011
```

Its density of states at the Fermi level is 18.35 states/eV/f.u. As for the formation energy: 412 meV/atom.

=====

Record 2
Material: AcPr4NdHo2
Method: DFT, PBE
State: optimized geometry

```
data_AcPr4NdHo2
_chemical_formula_sum 'Ac2 Pr8 Nd2 Ho4'
_cell_length_a 11.6879
_cell_length_b 5.2301
_cell_length_c 10.5011
_cell_angle_alpha 90.00
_cell_angle_beta 116.79
_cell_angle_gamma 90.00
_symmetry_space_group_name_H-M 'C 1 2/m 1'
_symmetry_Int_Tables_number 12
loop_
_symmetry_equiv_pos_as_xyz
'x,y,z'
'-x,-y,-z'
'-x,y,-z'
'x,-y,z'
'x+1/2,y+1/2,z'
'-x+1/2,-y+1/2,-z'
'-x+1/2,y+1/2,-z'
'x+1/2,-y+1/2,z'
loop_
_atom_site_label
_atom_site_type_symbol
_atom_site_fract_x
_atom_site_fract_y
_atom_site_fract_z
Ac1 Ac 0.0000 0.0000 0.0000
Pr1 Pr 0.2479 0.0000 0.8706
Pr2 Pr 0.2491 0.5000 0.6223
Nd1 Nd 0.0000 0.0000 0.5000
Ho1 Ho 0.0009 0.5000 0.7450
```

Its density of states at the Fermi level is 12.88 states/eV/f.u. As for the formation energy: 30 meV/atom.

=====

Record 3
Material: AcPr5NdHo2
Method: DFT, PBE
State: optimized geometry

```
data_AcPr5NdHo2
_chemical_formula_sum 'Ac4 Pr20 Nd4 Ho8'
_cell_length_a 5.6581
_cell_length_b 24.4780
_cell_length_c 9.6233
_cell_angle_alpha 90.00
_cell_angle_beta 90.00
_cell_angle_gamma 90.00
_symmetry_space_group_name_H-M 'C m c 21'
_symmetry_Int_Tables_number 36
loop_
_symmetry_equiv_pos_as_xyz
'x,y,z'
'-x,-y,z+1/2'
'-x,y,z'
'x,-y,z+1/2'
'x+1/2,y+1/2,z'
'-x+1/2,-y+1/2,z+1/2'
'-x+1/2,y+1/2,z'
'x+1/2,-y+1/2,z+1/2'
loop_
_atom_site_label
_atom_site_type_symbol
_atom_site_fract_x
_atom_site_fract_y
_atom_site_fract_z
Ac1 Ac 0.0000 0.1026 0.0000
Pr1 Pr 0.0000 0.0247 0.6714
Pr2 Pr 0.0000 0.1047 0.3919
Pr3 Pr 0.0000 0.1882 0.6992
Pr4 Pr 0.0000 0.2406 0.0694
Pr5 Pr 0.0000 0.4925 0.8899
Nd1 Nd 0.0000 0.2658 0.3923
Ho1 Ho 0.0000 0.3275 0.7546
Ho2 Ho 0.0000 0.3881 0.1345
```

Its density of states at the Fermi level is 11.12 states/eV/f.u. As for the formation energy: 142 meV/atom.

=====

Record 4
Material: AcPr6NdHo2
Method: DFT, PBE
State: optimized geometry

```
data_AcPr6NdHo2
_chemical_formula_sum 'Ac4 Pr24 Nd4 Ho8'
_cell_length_a 9.4839
_cell_length_b 15.5583
_cell_length_c 9.9285
_cell_angle_alpha 90.00
_cell_angle_beta 96.62
_cell_angle_gamma 90.00
_symmetry_space_group_name_H-M 'C 1 2/c 1'
_symmetry_Int_Tables_number 15
loop_
_symmetry_equiv_pos_as_xyz
'x,y,z'
'-x,-y,-z'
'-x,y,-z+1/2'
'x,-y,z+1/2'
'x+1/2,y+1/2,z'
'-x+1/2,-y+1/2,-z'
'-x+1/2,y+1/2,-z+1/2'
'x+1/2,-y+1/2,z+1/2'
loop_
_atom_site_label
_atom_site_type_symbol
_atom_site_fract_x
_atom_site_fract_y
_atom_site_fract_z
Ac1 Ac 0.0000 0.0303 0.2500
Pr1 Pr 0.0669 0.1806 0.9459
Pr2 Pr 0.0972 0.3922 0.1193
Pr3 Pr 0.2165 0.2292 0.3196
Nd1 Nd 0.0000 0.4089 0.7500
Ho1 Ho 0.2472 0.4475 0.4524
```

Its density of states at the Fermi level is 14.39 states/eV/f.u. As for the formation energy: 114 meV/atom.

=====

Record 5
Material: AcPrNd6Ho2
Method: DFT, PBE
State: optimized geometry

```
data_AcPrNd6Ho2
_chemical_formula_sum 'Ac4 Pr4 Nd24 Ho8'
_cell_length_a 9.4361
_cell_length_b 15.5107
_cell_length_c 9.8773
_cell_angle_alpha 90.00
_cell_angle_beta 96.41
_cell_angle_gamma 90.00
_symmetry_space_group_name_H-M 'C 1 2/c 1'
_symmetry_Int_Tables_number 15
loop_
_symmetry_equiv_pos_as_xyz
'x,y,z'
'-x,-y,-z'
'-x,y,-z+1/2'
'x,-y,z+1/2'
'x+1/2,y+1/2,z'
'-x+1/2,-y+1/2,-z'
'-x+1/2,y+1/2,-z+1/2'
'x+1/2,-y+1/2,z+1/2'
loop_
_atom_site_label
_atom_site_type_symbol
_atom_site_fract_x
_atom_site_fract_y
_atom_site_fract_z
Ac1 Ac 0.0000 0.0307 0.2500
Pr1 Pr 0.0000 0.4084 0.7500
Nd1 Nd 0.0668 0.1816 0.9451
Nd2 Nd 0.0977 0.3917 0.1196
Nd3 Nd 0.2146 0.2302 0.3207
Ho1 Ho 0.2470 0.4467 0.4525
```

Its density of states at the Fermi level is 14.25 states/eV/f.u. As for the formation energy: 117 meV/atom.

=====

Record 6
Material: AcPr3NdHo
Method: DFT, PBE
State: optimized geometry

```
data_AcPr3NdHo
_chemical_formula_sum 'Ac4 Pr12 Nd4 Ho4'
_cell_length_a 20.9552
_cell_length_b 5.9531
_cell_length_c 7.1379
_cell_angle_alpha 90.00
_cell_angle_beta 91.50
_cell_angle_gamma 90.00
_symmetry_space_group_name_H-M 'C 1 2/m 1'
_symmetry_Int_Tables_number 12
loop_
_symmetry_equiv_pos_as_xyz
'x,y,z'
'-x,-y,-z'
'-x,y,-z'
'x,-y,z'
'x+1/2,y+1/2,z'
'-x+1/2,-y+1/2,-z'
'-x+1/2,y+1/2,-z'
'x+1/2,-y+1/2,z'
loop_
_atom_site_label
_atom_site_type_symbol
_atom_site_fract_x
_atom_site_fract_y
_atom_site_fract_z
Ac1 Ac 0.1484 0.0000 0.0322
Pr1 Pr 0.0159 0.0000 0.7444
Pr2 Pr 0.1603 0.5000 0.7443
Pr3 Pr 0.2185 0.5000 0.2765
Nd1 Nd 0.0559 0.5000 0.2820
Ho1 Ho 0.1424 0.0000 0.4896
```

Its density of states at the Fermi level is 8.63 states/eV/f.u. As for the formation energy: 183 meV/atom.

=====

Record 7
Material: AcPr2Nd4Ho
Method: DFT, PBE
State: optimized geometry

```
data_AcPr2Nd4Ho
_chemical_formula_sum 'Ac1 Pr2 Nd4 Ho1'
_cell_length_a 5.2304
_cell_length_b 5.2501
_cell_length_c 10.5105
_cell_angle_alpha 90.00
_cell_angle_beta 90.00
_cell_angle_gamma 90.00
_symmetry_space_group_name_H-M 'P m m m'
_symmetry_Int_Tables_number 47
loop_
_symmetry_equiv_pos_as_xyz
'x,y,z'
'-x,-y,-z'
'-x,-y,z'
'x,y,-z'
'x,-y,-z'
'-x,y,z'
'-x,y,-z'
'x,-y,z'
loop_
_atom_site_label
_atom_site_type_symbol
_atom_site_fract_x
_atom_site_fract_y
_atom_site_fract_z
Ac1 Ac 0.0000 0.0000 0.0000
Pr1 Pr 0.0000 0.0000 0.5000
Pr2 Pr 0.5000 0.5000 0.0000
Nd1 Nd 0.0000 0.5000 0.2581
Nd2 Nd 0.5000 0.0000 0.2577
Ho1 Ho 0.5000 0.5000 0.5000
```

Its density of states at the Fermi level is 12.49 states/eV/f.u. As for the formation energy: 21 meV/atom.

=====

Record 8
Material: AcPrNd3Ho
Method: DFT, PBE
State: optimized geometry

```
data_AcPrNd3Ho
_chemical_formula_sum 'Ac4 Pr4 Nd12 Ho4'
_cell_length_a 20.9313
_cell_length_b 5.9188
_cell_length_c 7.1320
_cell_angle_alpha 90.00
_cell_angle_beta 91.05
_cell_angle_gamma 90.00
_symmetry_space_group_name_H-M 'C 1 2/m 1'
_symmetry_Int_Tables_number 12
loop_
_symmetry_equiv_pos_as_xyz
'x,y,z'
'-x,-y,-z'
'-x,y,-z'
'x,-y,z'
'x+1/2,y+1/2,z'
'-x+1/2,-y+1/2,-z'
'-x+1/2,y+1/2,-z'
'x+1/2,-y+1/2,z'
loop_
_atom_site_label
_atom_site_type_symbol
_atom_site_fract_x
_atom_site_fract_y
_atom_site_fract_z
Ac1 Ac 0.1478 0.0000 0.0435
Pr1 Pr 0.1405 0.0000 0.4969
Nd1 Nd 0.0176 0.0000 0.7484
Nd2 Nd 0.1570 0.5000 0.7568
Nd3 Nd 0.2196 0.5000 0.2800
Ho1 Ho 0.0572 0.5000 0.2883
```

Its density of states at the Fermi level is 8.91 states/eV/f.u. As for the formation energy: 218 meV/atom.